[1]
# CsBa3Te

A geometry-optimized CsBa3Te structure (GGA-PBE, Alexandria).

Lattice parameters (Å, degrees): 6.3561 6.3561 6.3561 90.00 90.00 90.00
Space group Pm-3m (No. 221)
One atom of each set of equivalent atoms:
Cs 0.0000 0.0000 0.0000 x1
Ba 0.0000 0.0000 0.5000 x3
Te 0.5000 0.5000 0.5000 x1

Calculated values
N(E_F)   7.18 states/eV/cell
Total DFT energy (no corrections)   -1.521 eV/atom
Uncorrected formation energy   0.43 eV/atom
Total moment   0.0 Bohr magnetons per cell
Calculated density   4.35 g/cm³
Energy above the most stable polymorph in this dataset   0.918 eV/atom

---

[2]
# BaAc2TeO8

A geometry-optimized BaAc2TeO8 structure (GGA-PBE, Alexandria).

Lattice parameters (Å, degrees): 4.6955 5.8268 7.7300 85.92 87.61 86.78
Space group P-1 (No. 2)
One atom of each set of equivalent atoms:
Ba 0.0000 0.0000 0.0000 x1
Ac 0.4615 0.4693 0.2441 x2
Te 0.0000 0.0000 0.5000 x1
O 0.0535 0.7576 0.6868 x2
O 0.0903 0.7787 0.3313 x2
O 0.4048 0.1022 0.5163 x2
O 0.4430 0.2727 0.9959 x2

Calculated values
N(E_F)   0.00 states/eV/cell
Total DFT energy (no corrections)   -6.580 eV/atom
Uncorrected formation energy   -2.17 eV/atom
Total moment   0.0 Bohr magnetons per cell
Calculated density   6.68 g/cm³

---

[3]
# ReSbIr2

A geometry-optimized ReSbIr2 structure (GGA-PBE, Alexandria).

Lattice parameters (Å, degrees): 2.9093 2.9093 26.8359 90.00 90.00 120.00
Space group R-3m (No. 166, hexagonal axes)
One atom of each set of equivalent atoms:
Re 0.0000 0.0000 0.0000 x3
Sb 0.0000 0.0000 0.5000 x3
Ir 0.0000 0.0000 0.2537 x6

Calculated values
N(E_F)   10.85 states/eV/cell
Total DFT energy (no corrections)   -8.279 eV/atom
Uncorrected formation energy   0.29 eV/atom
Total moment   0.0 Bohr magnetons per cell
Calculated density   17.53 g/cm³